# PBE-GGA Li2Sn2Te, optimized geometry
data_Li2Sn2Te
_cell_length_a 8.5536
_cell_length_b 8.5536
_cell_length_c 3.2788
_cell_angle_alpha 90.00
_cell_angle_beta 90.00
_cell_angle_gamma 90.00
_symmetry_space_group_name_H-M 'P 1'
_symmetry_Int_Tables_number 1
loop_
_symmetry_equiv_pos_as_xyz
'x,y,z'
loop_
_atom_site_label
_atom_site_fract_x
_atom_site_fract_y
_atom_site_fract_z
Li1 0.1837 0.3163 0.0000
Li2 0.3163 0.8163 0.0000
Li3 0.6837 0.1837 0.0000
Li4 0.8163 0.6837 0.0000
Sn1 0.1207 0.6207 0.5000
Sn2 0.3793 0.1207 0.5000
Sn3 0.6207 0.8793 0.5000
Sn4 0.8793 0.3793 0.5000
Te1 0.0000 0.0000 0.5000
Te2 0.5000 0.5000 0.5000
# N(E_F)   2.869 states/eV per cell

# PBE-GGA LiSnTe3, optimized geometry
data_LiSnTe3
_cell_length_a 12.2601
_cell_length_b 12.2601
_cell_length_c 7.3465
_cell_angle_alpha 90.00
_cell_angle_beta 90.00
_cell_angle_gamma 162.09
_symmetry_space_group_name_H-M 'P 1'
_symmetry_Int_Tables_number 1
loop_
_symmetry_equiv_pos_as_xyz
'x,y,z'
loop_
_atom_site_label
_atom_site_fract_x
_atom_site_fract_y
_atom_site_fract_z
Li1 0.1773 0.8227 0.5000
Li2 0.8227 0.1773 0.0000
Sn1 0.3753 0.6247 0.4271
Sn2 0.6247 0.3753 0.9271
Te1 0.0628 0.9372 0.7417
Te2 0.2718 0.7282 0.2632
Te3 0.3960 0.6040 0.7971
Te4 0.6040 0.3960 0.2971
Te5 0.7282 0.2718 0.7632
Te6 0.9372 0.0628 0.2417
# Energy above the most stable polymorph in this dataset   0.000 eV per atom
# N(E_F)   2.951 states/eV per cell

no.,calculated total energy (hartree per atom)
1,-0.1185
2,-0.1227